Material: KTe2Au2
Method: DFT, GGA-PBE
State: relaxed

Values from the calculation:
size of the total moment	0.000	μB/f.u.
raw formation energy	-0.40	eV per atom
N(E_F)	0.1908	states/eV/atom
offset from the most stable computed form	0	meV/atom
calculated total energy	-31.9	eV per cell

The structure in extended XYZ format:
```
10
Lattice="3.141 -8.306 0.000 3.141 8.306 0.000 -2.544 0.000 6.450" Properties=species:S:1:pos:R:3 pbc="T T T"
K 1.233 5.790 4.837
K 2.505 -5.790 1.612
Te 2.505 4.691 1.612
Te 2.505 0.539 1.612
Te 1.233 -0.539 4.837
Te 1.233 -4.691 4.837
Au -0.437 1.474 5.332
Au 0.834 -1.474 2.108
Au 2.903 1.474 4.342
Au 4.175 -1.474 1.117
```



Material: CsTl2Pb
Method: DFT, GGA-PBE
State: relaxed

Values from the calculation:
size of the total moment	0.001	μB/f.u.
N(E_F)	0.8261	states/eV/atom
energy of formation from the pure elements	-54	meV per atom
offset from the most stable computed form	54	meV/atom
calculated total energy	-9.5	eV per cell

The structure in extended XYZ format:
```
4
Lattice="2.608 1.506 7.460 -2.608 1.506 7.460 0.000 -3.012 7.460" Properties=species:S:1:pos:R:3 pbc="T T T"
Cs 0.000 0.000 0.000
Tl 0.000 0.000 12.520
Tl 0.000 0.000 17.639
Pb 0.000 0.000 4.073
```



Material: TaHgW2
Method: DFT, GGA-PBE
State: relaxed

Values from the calculation:
size of the total moment	0.000	μB/f.u.
N(E_F)	0.6960	states/eV/atom
energy of formation from the pure elements	475	meV per atom
calculated total energy	-36.2	eV per cell

The structure in extended XYZ format:
```
4
Lattice="2.848 -4.733 0.000 2.848 4.733 0.000 -1.011 0.000 2.604" Properties=species:S:1:pos:R:3 pbc="T T T"
Ta 0.000 0.000 0.000
Hg 2.848 0.000 0.000
W 0.919 2.367 1.302
W 0.919 -2.367 1.302
```



Material: Li3P
Method: DFT, GGA-PBE
State: relaxed

Values from the calculation:
size of the total moment	0.000	μB/f.u.
N(E_F)	0.2148	states/eV/atom
energy of formation from the pure elements	-381	meV per atom
calculated total energy	-12.7	eV per cell

The structure in extended XYZ format:
```
4
Lattice="4.202 -1.454 0.000 4.202 1.454 0.000 -0.672 0.000 4.809" Properties=species:S:1:pos:R:3 pbc="T T T"
Li 0.000 0.000 0.000
Li 1.484 0.000 3.413
Li 6.247 0.000 1.396
P 3.866 0.000 2.405
```



> Which of these has the highest size of the total moment?

CsTl2Pb



> What is the formula in the first record?

KTe2Au2



> Among the records above, which one has the highest calculated total energy?

CsTl2Pb



> What is the calculated total energy in the second record?

-9.5 eV per cell